a:
A geometry-optimized TaCoTc3 structure. Source: Alexandria, functional GGA-PBE.

## Properties
**DOS(E_F)**: 8.20 states/eV/cell
**Spin magnetization**: 1.343 μB/f.u.

Cell lengths 4.3741, 4.3741, 4.3741 Å; angles 90.00, 90.00, 90.00 degrees
Closest atoms and distances in Å follow each position.
Space group Pm-3m (No. 221)
Unique sites:
Ta 0.0000 0.0000 0.0000 (multiplicity 1)  12 Tc 3.09
Co 0.5000 0.5000 0.5000 (multiplicity 1)  6 Tc 2.19
Tc 0.0000 0.5000 0.5000 (multiplicity 3)  2 Co 2.19

b:
A geometry-optimized TaCoTc3 structure. Source: Alexandria, functional GGA-PBE.

## Properties
**DOS(E_F)**: 7.84 states/eV/cell
**Spin magnetization**: 1.190 μB/f.u.

Cell lengths 4.6867, 4.6867, 4.6867 Å; angles 90.00, 90.00, 90.00 degrees
Closest atoms and distances in Å follow each position.
Space group Pm-3m (No. 221)
Unique sites:
Ta 0.0000 0.0000 0.0000 (multiplicity 1)  6 Tc 2.34
Co 0.5000 0.5000 0.5000 (multiplicity 1)  12 Tc 3.31
Tc 0.0000 0.0000 0.5000 (multiplicity 3)  2 Ta 2.34

a ends up most stable, edging out the next structure by 90.0 kJ/mol of atoms.

a:
A geometry-optimized TaCoTe structure. Source: Alexandria, functional GGA-PBE.

## Properties
**DOS(E_F)**: 0.23 states/eV/cell
**Spin magnetization**: 0.000 μB/f.u.

Cell lengths 3.7761, 3.7761, 4.6318 Å; angles 90.00, 90.00, 120.00 degrees
Closest atoms and distances in Å follow each position.
Space group P3m1 (No. 156)
Unique sites:
Ta 0.0000 0.0000 0.0000 (multiplicity 1)  3 Co 2.40
Co 0.3333 0.6667 0.7837 (multiplicity 1)  3 Ta 2.40, 3 Te 2.58
Te 0.6667 0.3333 0.4878 (multiplicity 1)  3 Co 2.58

b:
A geometry-optimized TaCoTe structure. Source: Alexandria, functional GGA-PBE.

## Properties
**DOS(E_F)**: 18.73 states/eV/cell
**Spin magnetization**: 0.259 μB/f.u.

Cell lengths 6.0127, 6.0127, 6.0127 Å; angles 90.00, 90.00, 90.00 degrees
Closest atoms and distances in Å follow each position.
Space group F-43m (No. 216)
Unique sites:
Ta 0.0000 0.0000 0.0000 (multiplicity 4)  4 Co 2.60
Co 0.2500 0.2500 0.7500 (multiplicity 4)  4 Ta 2.60, 4 Te 2.60
Te 0.0000 0.0000 0.5000 (multiplicity 4)  4 Co 2.60

a ends up most stable, edging out the next structure by 10.7 kJ/mol of atoms.

a:
A geometry-optimized TaCoTe structure. Source: Alexandria, functional GGA-PBE.

## Properties
**DOS(E_F)**: 11.71 states/eV/cell
**Spin magnetization**: 0.000 μB/f.u.

Cell lengths 3.7461, 3.7461, 31.4879 Å; angles 90.00, 90.00, 120.00 degrees
Closest atoms and distances in Å follow each position.
Space group R-3m (No. 166, hexagonal axes)
Unique sites:
Ta 0.0000 0.0000 0.0514 (multiplicity 6)  6 Co 2.68-2.73, 3 Te 2.87
Co 0.0000 0.0000 0.3321 (multiplicity 6)  3 Co 2.16
Te 0.0000 0.0000 0.2222 (multiplicity 6)  3 Ta 2.87

b:
A geometry-optimized TaCoTe structure. Source: Alexandria, functional GGA-PBE.

## Properties
**DOS(E_F)**: 5.19 states/eV/cell
**Spin magnetization**: 0.000 μB/f.u.

Cell lengths 3.3000, 3.3000, 9.6046 Å; angles 90.00, 90.00, 90.00 degrees
Closest atoms and distances in Å follow each position.
Space group I4mm (No. 107)
Unique sites:
Ta 0.0000 0.0000 0.0000 (multiplicity 2)  4 Co 2.63
Co 0.0000 0.0000 0.6260 (multiplicity 2)  4 Ta 2.63, 4 Te 2.91
Te 0.0000 0.0000 0.3072 (multiplicity 2)  5 Co 2.91-3.06, 5 Ta 2.95-2.98

a ends up most stable, edging out the next structure by 30.3 kJ/mol of atoms.

a:
A geometry-optimized TaTiCo structure. Source: Alexandria, functional GGA-PBE.

## Properties
**DOS(E_F)**: 31.23 states/eV/cell
**Spin magnetization**: 0.001 μB/f.u.

Cell lengths 5.0337, 8.4000, 8.6022 Å; angles 90.00, 90.00, 90.00 degrees
Closest atoms and distances in Å follow each position.
Space group Fmmm (No. 69)
Unique sites:
Ta 0.0000 0.1634 0.0000 (multiplicity 8)  4 Co 2.60, 1 Ta 2.74
Ti 0.0000 0.0000 0.3364 (multiplicity 8)  4 Co 2.56, 1 Ti 2.82
Co 0.2500 0.2500 0.2500 (multiplicity 8)  2 Co 2.52, 4 Ti 2.56, 4 Ta 2.60

b:
A geometry-optimized TaTiCo structure. Source: Alexandria, functional GGA-PBE.

## Properties
**DOS(E_F)**: 59.01 states/eV/cell
**Spin magnetization**: 0.000 μB/f.u.

Cell lengths 4.8387, 8.6723, 17.3544 Å; angles 90.00, 90.00, 90.00 degrees
Closest atoms and distances in Å follow each position.
Space group Fddd (No. 70, origin choice 2)
Unique sites:
Ta 0.1250 0.2934 0.1250 (multiplicity 16)  4 Co 2.59-2.61, 2 Ta 2.80
Ti 0.1250 0.1250 0.5447 (multiplicity 16)  4 Co 2.53-2.61, 1 Ti 2.79
Co 0.1250 0.1250 0.0016 (multiplicity 16)  2 Co 2.48, 4 Ti 2.53-2.61, 4 Ta 2.59-2.61

c:
A geometry-optimized TaTiCo structure. Source: Alexandria, functional GGA-PBE.

## Properties
**DOS(E_F)**: 24.78 states/eV/cell
**Spin magnetization**: 0.000 μB/f.u.

Cell lengths 7.9196, 5.1185, 8.8076 Å; angles 90.00, 90.00, 90.00 degrees
Closest atoms and distances in Å follow each position.
Space group Amm2 (No. 38)
Unique sites:
Ta 0.1828 0.0000 0.0000 (multiplicity 4)  5 Co 2.77-3.08, 5 Ti 2.86-2.95, 4 Ta 2.90-3.09
Ta 0.2948 0.0000 0.6689 (multiplicity 4)  4 Co 2.68-2.89, 3 Ti 2.92-2.99
Ti 0.0000 0.0000 0.4705 (multiplicity 2)  6 Co 2.41-2.57
Ti 0.5000 0.0000 0.1561 (multiplicity 2)  2 Co 2.42, 4 Ti 2.50-2.59
Ti 0.5000 0.2484 0.4127 (multiplicity 4)  2 Co 2.50, 4 Ti 2.50-2.59
Co 0.0000 0.2408 0.7211 (multiplicity 4)  4 Co 2.46-2.65, 2 Ti 2.53-2.57, 2 Ta 2.68
Co 0.2506 0.0000 0.3156 (multiplicity 4)  4 Ti 2.41-2.50, 2 Co 2.53

a ends up most stable, edging out the next structure by 1.1 kJ/mol of atoms.

a:
A geometry-optimized Ta2TiCo structure. Source: Alexandria, functional GGA-PBE.

## Properties
**DOS(E_F)**: 15.94 states/eV/cell
**Spin magnetization**: 0.022 μB/f.u.

Cell lengths 6.2801, 6.2801, 6.2801 Å; angles 90.00, 90.00, 90.00 degrees
Closest atoms and distances in Å follow each position.
Space group Fm-3m (No. 225)
Unique sites:
Ta 0.2500 0.2500 0.2500 (multiplicity 8)  4 Co 2.72, 4 Ti 2.72
Ti 0.0000 0.0000 0.0000 (multiplicity 4)  8 Ta 2.72
Co 0.0000 0.0000 0.5000 (multiplicity 4)  8 Ta 2.72

b:
A geometry-optimized Ta2TiCo structure. Source: Alexandria, functional GGA-PBE.

## Properties
**DOS(E_F)**: 2.92 states/eV/cell
**Spin magnetization**: 0.000 μB/f.u.

Cell lengths 3.0520, 3.0520, 6.8187 Å; angles 90.00, 90.00, 90.00 degrees
Closest atoms and distances in Å follow each position.
Space group P4/mmm (No. 123)
Unique sites:
Ta 0.0000 0.0000 0.2283 (multiplicity 2)  4 Co 2.66, 4 Ti 2.84
Ti 0.5000 0.5000 0.5000 (multiplicity 1)  8 Ta 2.84, 4 Ti 3.05
Co 0.5000 0.5000 0.0000 (multiplicity 1)  8 Ta 2.66

b ends up most stable, edging out the next structure by 11.2 kJ/mol of atoms.

a:
A geometry-optimized Ta2TiCo structure. Source: Alexandria, functional GGA-PBE.

## Properties
**DOS(E_F)**: 8.32 states/eV/cell
**Spin magnetization**: 0.000 μB/f.u.

Cell lengths 3.0199, 8.5981, 5.1516 Å; angles 90.00, 103.17, 90.00 degrees
Closest atoms and distances in Å follow each position.
Space group P2_1/m (No. 11)
Unique sites:
Ta 0.1656 0.0478 0.2631 (multiplicity 4)  2 Co 2.47-2.50
Ti 0.4179 0.2500 0.8411 (multiplicity 2)  2 Co 2.41-2.54
Co 0.2694 0.7500 0.5499 (multiplicity 2)  2 Ti 2.41-2.54, 4 Ta 2.47-2.50

b:
A geometry-optimized Ta2TiCo structure. Source: Alexandria, functional GGA-PBE.

## Properties
**DOS(E_F)**: 22.74 states/eV/cell
**Spin magnetization**: 0.000 μB/f.u.

Cell lengths 7.1428, 7.1428, 5.3142 Å; angles 90.00, 90.00, 90.00 degrees
Closest atoms and distances in Å follow each position.
Space group I-42d (No. 122)
Unique sites:
Ta 0.2112 0.2500 0.1250 (multiplicity 8)  2 Co 2.43, 2 Ta 2.71
Ti 0.0000 0.0000 0.5000 (multiplicity 4)  2 Co 2.66, 4 Ta 2.81
Co 0.0000 0.0000 0.0000 (multiplicity 4)  4 Ta 2.43, 2 Ti 2.66

a ends up most stable, edging out the next structure by 43.6 kJ/mol of atoms.